# 1
Zr8AlTe2: relaxed, PBE-GGA.

Unit cell a=7.5917 b=7.5917 c=5.4053 alpha=99.75 beta=99.75 gamma=119.29
Last column: nearest neighbours and their distance in Å.
Positions (direct):
Zr (0.0903, 0.3077, 0.6479)  3 Zr 2.85-3.15, 2 Te 2.91-2.97, 1 Al 3.15
Zr (0.2247, 0.7753, 0.0000)  2 Te 2.90, 1 Al 2.94, 2 Zr 3.20
Zr (0.3077, 0.0903, 0.6479)  3 Zr 2.85-3.15, 2 Te 2.91-2.97, 1 Al 3.15
Zr (0.3936, 0.3936, 0.1898)  1 Al 2.85, 2 Te 3.01, 3 Zr 3.02-3.15
Zr (0.6064, 0.6064, 0.8102)  1 Al 2.85, 2 Te 3.01, 3 Zr 3.02-3.15
Zr (0.6923, 0.9097, 0.3521)  3 Zr 2.85-3.15, 2 Te 2.91-2.97, 1 Al 3.15
Zr (0.7753, 0.2247, 0.0000)  2 Te 2.90, 1 Al 2.94, 2 Zr 3.20
Zr (0.9097, 0.6923, 0.3521)  3 Zr 2.85-3.15, 2 Te 2.91-2.97, 1 Al 3.15
Al (0.0000, 0.0000, 0.0000)  8 Zr 2.85-3.15
Te (0.3055, 0.6945, 0.5000)  8 Zr 2.90-3.01
Te (0.6945, 0.3055, 0.5000)  8 Zr 2.90-3.01

Values from the calculation:
As for the symmetry: C2/m, No. 12. For the energy relative to the elements, uncorrected, the calculation gives -0.224 eV per atom.


# 2
Ta2Al2Ag: relaxed, PBE-GGA.

Unit cell a=6.5570 b=6.5570 c=3.9773 alpha=90.00 beta=90.00 gamma=90.00
Last column: nearest neighbours and their distance in Å.
Positions (direct):
Ta (0.1606, 0.3394, 0.0000)  6 Al 2.75-2.78, 1 Ta 2.98
Ta (0.3394, 0.8394, 0.0000)  6 Al 2.75-2.78, 1 Ta 2.98
Ta (0.6606, 0.1606, 0.0000)  6 Al 2.75-2.78, 1 Ta 2.98
Ta (0.8394, 0.6606, 0.0000)  6 Al 2.75-2.78, 1 Ta 2.98
Al (0.1353, 0.6353, 0.5000)  1 Al 2.51, 2 Ag 2.55, 6 Ta 2.75-2.78
Al (0.3647, 0.1353, 0.5000)  1 Al 2.51, 2 Ag 2.55, 6 Ta 2.75-2.78
Al (0.6353, 0.8647, 0.5000)  1 Al 2.51, 2 Ag 2.55, 6 Ta 2.75-2.78
Al (0.8647, 0.3647, 0.5000)  1 Al 2.51, 2 Ag 2.55, 6 Ta 2.75-2.78
Ag (0.0000, 0.0000, 0.5000)  4 Al 2.55
Ag (0.5000, 0.5000, 0.5000)  4 Al 2.55

Values from the calculation:
As for the symmetry: P4/mbm, No. 127. The value obtained for the formation energy is 0.086 eV per atom.


# 3
GaRuI2: relaxed, PBE-GGA.

Unit cell a=7.7014 b=7.7014 c=7.7014 alpha=126.38 beta=126.38 gamma=79.27
Last column: nearest neighbours and their distance in Å.
Positions (direct):
Ga (0.0000, 0.0000, 0.0000)  4 I 3.20
Ga (0.7500, 0.2500, 0.5000)  4 I 3.20
Ru (0.2500, 0.7500, 0.5000)  4 I 2.59
Ru (0.5000, 0.5000, 0.0000)  4 I 2.59
I (0.1981, 0.6250, 0.0731)  2 Ru 2.59
I (0.3750, 0.4481, 0.5731)  2 Ru 2.59
I (0.5519, 0.1250, 0.9269)  2 Ru 2.59
I (0.8750, 0.8019, 0.4269)  2 Ru 2.59

Values from the calculation:
As for the symmetry: I-42d, No. 122. The energy above the most stable polymorph in this dataset comes out at 0 meV/atom. For the energy relative to the elements, uncorrected, the calculation gives 0.465 eV per atom.


| no. | energy (eV for the cell shown) |
| --- | --- |
| 1 | -80.9 |
| 2 | -67.2 |
| 3 | -27.1 |